[1]
# YSb2MoPd

Crystalline YSb2MoPd at its relaxed geometry (PBE, Alexandria via LeMat-Bulk).

Summary:
- Crystal system: tetragonal

```
YSb2MoPd
1.0
5.174 0.000 0.000
0.000 5.174 0.000
0.000 0.000 4.961
Y Sb Mo Pd
1 2 1 1
Cartesian
0.000 0.000 0.000
0.000 2.587 2.481
2.587 0.000 2.481
2.587 2.587 0.000
2.587 2.587 2.481
```



[2]
# RbTlZnGeSe

Crystalline RbTlZnGeSe at its relaxed geometry (PBE, Alexandria via LeMat-Bulk).

Summary:
- Crystal system: monoclinic
- ΔE to the lowest computed polymorph: 92 meV/atom

```
RbTlZnGeSe
1.0
6.003 -2.312 0.000
6.003 2.312 0.000
-2.837 0.000 5.907
Rb Tl Zn Ge Se
1 1 1 1 1
Cartesian
0.000 0.000 0.000
3.697 0.000 2.663
1.011 0.000 3.683
6.635 0.000 2.928
8.430 0.000 1.119
```



[3]
# LiCa3Rh

Crystalline LiCa3Rh at its relaxed geometry (PBE, Alexandria via LeMat-Bulk).

Summary:
- Crystal system: orthorhombic
- ΔE to the lowest computed polymorph: 92 meV/atom
- Formation enthalpy at 0 K: -0.132 eV per atom

```
LiCa3Rh
1.0
5.317 -8.131 0.000
5.317 8.131 0.000
0.000 0.000 3.626
Li Ca Rh
2 6 2
Cartesian
0.000 0.000 0.000
5.317 0.000 1.807
2.147 1.973 1.814
5.317 3.336 3.624
2.147 -1.973 1.814
8.486 1.973 1.814
5.317 -3.336 3.624
8.486 -1.973 1.814
2.658 4.066 3.624
2.658 -4.066 3.624
```



[4]
# In2ReSi

Crystalline In2ReSi at its relaxed geometry (PBE, Alexandria via LeMat-Bulk).

Summary:
- Crystal system: tetragonal

```
In2ReSi
1.0
3.137 0.000 0.000
0.000 3.137 0.000
0.000 0.000 8.156
In Re Si
2 1 1
Cartesian
0.000 0.000 0.000
1.568 1.568 2.925
0.000 0.000 4.912
1.568 1.568 6.009
```



[5]
# RbMgGe

Crystalline RbMgGe at its relaxed geometry (PBE, Alexandria via LeMat-Bulk).

Summary:
- Crystal system: tetragonal
- ΔE to the lowest computed polymorph: 68 meV/atom
- Formation enthalpy at 0 K: -0.082 eV per atom

```
RbMgGe
1.0
-2.396 2.396 8.322
2.396 -2.396 8.322
2.396 2.396 -8.322
Rb Mg Ge
2 2 2
Cartesian
0.000 0.000 2.982
0.000 0.000 13.663
2.396 0.000 0.000
0.000 2.396 0.000
0.000 0.000 6.855
0.000 0.000 9.790
```



[6]
# MnReC2

Crystalline MnReC2 at its relaxed geometry (PBE, Alexandria via LeMat-Bulk).

Summary:
- Crystal system: cubic
- ΔE to the lowest computed polymorph: 378 meV/atom
- Formation enthalpy at 0 K: 0.903 eV per atom

```
MnReC2
1.0
0.000 2.617 2.617
2.617 0.000 2.617
2.617 2.617 0.000
Mn Re C
1 1 2
Cartesian
0.000 0.000 0.000
2.617 2.617 2.617
1.308 1.308 1.308
3.925 3.925 3.925
```



[7]
# PmNdIn4

Crystalline PmNdIn4 at its relaxed geometry (PBE, Alexandria via LeMat-Bulk).

Summary:
- Crystal system: orthorhombic
- ΔE to the lowest computed polymorph: 150 meV/atom
- Formation enthalpy at 0 K: -0.321 eV per atom

```
PmNdIn4
1.0
2.520 -2.658 0.000
2.520 2.658 0.000
0.000 0.000 12.332
Pm Nd In
1 1 4
Cartesian
0.000 0.000 0.000
2.520 0.000 6.166
0.000 0.000 3.967
0.000 0.000 8.366
2.520 0.000 2.169
2.520 0.000 10.164
```



[8]
# CsLi2Ca2

Crystalline CsLi2Ca2 at its relaxed geometry (PBE, Alexandria via LeMat-Bulk).

Summary:
- Crystal system: tetragonal
- ΔE to the lowest computed polymorph: 0 meV/atom
- Formation enthalpy at 0 K: 0.161 eV per atom

```
CsLi2Ca2
1.0
10.324 0.000 0.000
0.000 10.324 0.000
0.000 0.000 3.913
Cs Li Ca
2 4 4
Cartesian
0.000 0.000 0.000
5.162 5.162 0.000
1.605 3.557 0.000
3.557 8.718 0.000
6.767 1.605 0.000
8.718 6.767 0.000
1.342 6.503 1.956
3.820 1.342 1.956
6.503 8.982 1.956
8.982 3.820 1.956
```



[9]
# Ag2BiCl8

Crystalline Ag2BiCl8 at its relaxed geometry (PBE, Alexandria via LeMat-Bulk).

Summary:
- Crystal system: tetragonal

```
Ag2BiCl8
1.0
-3.469 3.469 6.134
3.469 -3.469 6.134
3.469 3.469 -6.134
Ag Bi Cl
2 1 8
Cartesian
3.469 0.000 3.067
0.000 3.469 3.067
0.000 0.000 0.000
4.746 1.207 -1.401
1.207 2.192 -1.401
2.192 1.207 1.401
2.262 -1.277 7.534
2.262 1.277 4.733
-1.277 2.262 4.733
1.207 4.746 1.401
1.277 2.262 7.534
```



[10]
# RePIr2

Crystalline RePIr2 at its relaxed geometry (PBE, Alexandria via LeMat-Bulk).

Summary:
- Crystal system: tetragonal
- Formation enthalpy at 0 K: 0.255 eV per atom

```
RePIr2
1.0
-1.996 1.996 3.572
1.996 -1.996 3.572
1.996 1.996 -3.572
Re P Ir
1 1 2
Cartesian
0.000 0.000 0.000
0.000 1.996 1.786
1.996 0.000 1.786
0.000 0.000 3.572
```



[11]
# RbCd2Hg

Crystalline RbCd2Hg at its relaxed geometry (PBE, Alexandria via LeMat-Bulk).

Summary:
- Crystal system: orthorhombic
- Formation enthalpy at 0 K: -0.087 eV per atom

```
RbCd2Hg
1.0
9.680 0.000 0.000
0.000 8.165 0.000
0.000 0.000 6.605
Rb Cd Hg
4 8 4
Cartesian
0.359 2.041 0.767
4.481 6.124 4.069
5.198 2.041 2.536
9.321 6.124 5.838
1.771 0.517 3.956
1.771 3.566 3.956
3.069 4.600 0.654
3.069 7.648 0.654
6.611 0.517 5.951
6.611 3.566 5.951
7.909 4.600 2.649
7.909 7.648 2.649
1.050 6.124 2.522
3.790 2.041 5.824
5.890 6.124 0.781
8.629 2.041 4.083
```



[12]
# PmSm10Dy4

Crystalline PmSm10Dy4 at its relaxed geometry (PBE, Alexandria via LeMat-Bulk).

Summary:
- Crystal system: tetragonal
- Formation enthalpy at 0 K: 0.714 eV per atom

```
PmSm10Dy4
1.0
-6.148 6.148 3.881
6.148 -6.148 3.881
6.148 6.148 -3.881
Pm Sm Dy
1 10 4
Cartesian
0.000 0.000 0.000
4.919 3.673 -1.931
2.475 -1.230 1.949
6.148 0.000 1.940
3.673 7.378 -1.931
1.230 2.475 1.949
4.919 3.673 1.931
2.475 -1.230 5.812
0.000 6.148 1.940
3.673 7.378 1.931
1.230 2.475 5.812
7.381 2.459 0.000
2.459 4.915 0.000
3.689 1.233 3.881
-1.233 3.689 3.881
```



Number 1: DFT total energy -5.62 eV per atom. Number 2: DFT total energy -2.77 eV per atom. Number 3: DFT total energy -3.19 eV per atom. Number 4: DFT total energy -5.62 eV per atom. Number 5: DFT total energy -2.47 eV per atom. Number 6: DFT total energy -9.11 eV per atom. Number 7: DFT total energy -3.73 eV per atom. Number 8: DFT total energy -1.58 eV per atom. Number 9: DFT total energy -2.68 eV per atom. Number 10: DFT total energy -8.64 eV per atom. Number 11: DFT total energy -0.86 eV per atom. Number 12: DFT total energy -3.98 eV per atom.